Ti2CdO after structural relaxation, computed with PBE.

- SG: I-42d
- Distance to the lowest polymorph of the same formula: 355.1 meV/atom
- Raw total energy: -50.5 eV/cell
- ΔE_f (raw): -0.90 eV/atom
- Mass density: 4.97 Mg/m³

Unit cell a=5.276 b=5.276 c=6.548 alpha=66.24 beta=66.24 gamma=90.00
Fractional coordinates of all 8 atoms:
Ti1 0.463 0.125 0.250
Ti2 0.287 0.625 0.250
Ti3 0.375 0.537 0.750
Ti4 0.875 0.713 0.750
O1 0.500 0.500 0.000
O2 0.250 0.750 0.500
Cd1 0.000 0.000 0.000
Cd2 0.750 0.250 0.500